1.
{
  "formula": "ZnHgI2",
  "functional": "PBE",
  "state": "optimized geometry",
  "lattice": [[3.370, -7.965, 0.000], [3.370, 7.965, 0.000], [0.000, 0.000, 6.952]],
  "species": ["Zn", "Zn", "Hg", "Hg", "I", "I", "I", "I"],
  "fractional_positions": [[0.250, 0.250, 0.000], [0.750, 0.750, 0.000], [0.250, 0.750, 0.666], [0.750, 0.250, 0.334], [0.092, 0.908, 0.207], [0.408, 0.592, 0.207], [0.592, 0.408, 0.793], [0.908, 0.092, 0.793]],
  "sg": "Cmme, No. 67",
  "final_energy_ev_per_atom": -1.5799,
  "magnetic_moment_mub_per_atom": 0.000,
  "polymorph_energy_ev_per_atom": 0.0000
}

2.
{
  "formula": "Cd4AuBr",
  "functional": "PBE",
  "state": "optimized geometry",
  "lattice": [[0.000, 4.169, 4.169], [4.169, 0.000, 4.169], [4.169, 4.169, 0.000]],
  "species": ["Cd", "Cd", "Cd", "Cd", "Au", "Br"],
  "fractional_positions": [[0.124, 0.124, 0.124], [0.124, 0.124, 0.627], [0.124, 0.627, 0.124], [0.627, 0.124, 0.124], [0.750, 0.750, 0.750], [0.500, 0.500, 0.500]],
  "sg": "F-43m, No. 216",
  "final_energy_ev_per_atom": -1.3201,
  "magnetic_moment_mub_per_atom": 0.000
}

3.
{
  "formula": "Rb2SnBr4F2",
  "functional": "PBE",
  "state": "optimized geometry",
  "lattice": [[6.313, -3.836, 0.000], [6.313, 3.836, 0.000], [-4.399, 0.000, 6.033]],
  "species": ["Rb", "Rb", "Sn", "Br", "Br", "Br", "Br", "F", "F"],
  "fractional_positions": [[0.247, 0.247, 0.193], [0.753, 0.753, 0.807], [0.500, 0.500, 0.000], [0.217, 0.703, 0.718], [0.297, 0.783, 0.282], [0.703, 0.217, 0.718], [0.783, 0.297, 0.282], [0.308, 0.308, 0.881], [0.692, 0.692, 0.119]],
  "sg": "C2/m, No. 12",
  "final_energy_ev_per_atom": -3.5162,
  "magnetic_moment_mub_per_atom": 0.000
}

4.
{
  "formula": "LiSiPb2",
  "functional": "PBE",
  "state": "optimized geometry",
  "lattice": [[3.570, 0.000, 0.000], [0.000, 3.570, 0.000], [0.000, 0.000, 7.433]],
  "species": ["Li", "Si", "Pb", "Pb"],
  "fractional_positions": [[0.000, 0.000, 0.000], [0.500, 0.500, 0.830], [0.000, 0.000, 0.599], [0.500, 0.500, 0.237]],
  "sg": "P4mm, No. 99",
  "final_energy_ev_per_atom": -3.5832,
  "magnetic_moment_mub_per_atom": 0.000
}

5.
{
  "formula": "Sb2MoSe",
  "functional": "PBE",
  "state": "optimized geometry",
  "lattice": [[6.842, -1.637, 0.000], [6.842, 1.637, 0.000], [-1.391, 0.000, 4.143]],
  "species": ["Sb", "Sb", "Mo", "Se"],
  "fractional_positions": [[0.178, 0.178, 0.179], [0.822, 0.822, 0.821], [0.500, 0.500, 0.000], [0.000, 0.000, 0.500]],
  "sg": "C2/m, No. 12",
  "final_energy_ev_per_atom": -5.3865,
  "magnetic_moment_mub_per_atom": 0.001
}

6.
{
  "formula": "Ca2HPb",
  "functional": "PBE",
  "state": "optimized geometry",
  "lattice": [[5.406, 0.000, 0.000], [0.000, 5.406, 0.000], [0.000, 0.000, 3.575]],
  "species": ["Ca", "Ca", "H", "Pb"],
  "fractional_positions": [[0.000, 0.500, 0.000], [0.500, 0.000, 0.000], [0.000, 0.000, 0.500], [0.500, 0.500, 0.500]],
  "sg": "P4/mmm, No. 123",
  "final_energy_ev_per_atom": -2.9696,
  "magnetic_moment_mub_per_atom": 0.000,
  "polymorph_energy_ev_per_atom": 0.2491
}

7.
{
  "formula": "LiBeTl4",
  "functional": "PBE",
  "state": "optimized geometry",
  "lattice": [[0.000, 4.492, 4.492], [4.492, 0.000, 4.492], [4.492, 4.492, 0.000]],
  "species": ["Li", "Be", "Tl", "Tl", "Tl", "Tl"],
  "fractional_positions": [[0.000, 0.000, 0.000], [0.250, 0.250, 0.250], [0.125, 0.625, 0.625], [0.625, 0.125, 0.625], [0.625, 0.625, 0.125], [0.625, 0.625, 0.625]],
  "sg": "F-43m, No. 216",
  "final_energy_ev_per_atom": -1.9746,
  "magnetic_moment_mub_per_atom": 0.000,
  "delta_e_f_mev_per_atom": 542.9
}

8.
{
  "formula": "KYMn2Si",
  "functional": "PBE",
  "state": "optimized geometry",
  "lattice": [[5.483, 0.000, 0.000], [0.000, 5.483, 0.000], [0.000, 0.000, 5.497]],
  "species": ["K", "Y", "Mn", "Mn", "Si"],
  "fractional_positions": [[0.000, 0.000, 0.000], [0.500, 0.500, 0.500], [0.000, 0.500, 0.500], [0.500, 0.000, 0.500], [0.500, 0.500, 0.000]],
  "sg": "P4/mmm, No. 123",
  "final_energy_ev_per_atom": -5.1588,
  "magnetic_moment_mub_per_atom": 1.591
}

9.
{
  "formula": "DyTm2Zn3",
  "functional": "PBE",
  "state": "optimized geometry",
  "lattice": [[3.539, 0.000, 0.000], [0.000, 3.539, 0.000], [0.000, 0.000, 10.607]],
  "species": ["Dy", "Tm", "Tm", "Zn", "Zn", "Zn"],
  "fractional_positions": [[0.000, 0.000, 0.000], [0.000, 0.000, 0.335], [0.000, 0.000, 0.665], [0.500, 0.500, 0.171], [0.500, 0.500, 0.500], [0.500, 0.500, 0.829]],
  "sg": "P4/mmm, No. 123",
  "final_energy_ev_per_atom": -3.2412,
  "magnetic_moment_mub_per_atom": 0.000,
  "delta_e_f_mev_per_atom": -346.7
}

10.
{
  "formula": "Ho3ErRh4",
  "functional": "PBE",
  "state": "optimized geometry",
  "lattice": [[4.851, 0.000, 0.000], [0.000, 4.851, 0.000], [0.000, 0.000, 6.712]],
  "species": ["Ho", "Ho", "Ho", "Er", "Rh", "Rh", "Rh", "Rh"],
  "fractional_positions": [[0.000, 0.000, 0.000], [0.000, 0.000, 0.500], [0.500, 0.500, 0.000], [0.500, 0.500, 0.500], [0.000, 0.500, 0.251], [0.000, 0.500, 0.749], [0.500, 0.000, 0.251], [0.500, 0.000, 0.749]],
  "sg": "P4/mmm, No. 123",
  "final_energy_ev_per_atom": -6.8757,
  "magnetic_moment_mub_per_atom": 0.000,
  "delta_e_f_mev_per_atom": -913.0
}

11.
{
  "formula": "BaHfMn2",
  "functional": "PBE",
  "state": "optimized geometry",
  "lattice": [[0.000, 3.596, 3.596], [3.596, 0.000, 3.596], [3.596, 3.596, 0.000]],
  "species": ["Ba", "Hf", "Mn", "Mn"],
  "fractional_positions": [[0.000, 0.000, 0.000], [0.500, 0.500, 0.500], [0.250, 0.250, 0.250], [0.750, 0.750, 0.750]],
  "sg": "Fm-3m, No. 225",
  "final_energy_ev_per_atom": -6.7869,
  "magnetic_moment_mub_per_atom": 1.512,
  "delta_e_f_mev_per_atom": 766.9,
  "polymorph_energy_ev_per_atom": 0.0000
}

12.
{
  "formula": "Tl2InHgPb2",
  "functional": "PBE",
  "state": "optimized geometry",
  "lattice": [[4.673, 0.000, 0.000], [0.000, 10.646, 0.000], [0.000, 0.000, 7.130]],
  "species": ["Tl", "Tl", "Tl", "Tl", "In", "In", "Hg", "Hg", "Pb", "Pb", "Pb", "Pb"],
  "fractional_positions": [[0.000, 0.003, 0.000], [0.000, 0.997, 0.500], [0.500, 0.168, 0.259], [0.500, 0.832, 0.759], [0.500, 0.496, 0.264], [0.500, 0.504, 0.764], [0.000, 0.342, 0.503], [0.000, 0.658, 0.003], [0.000, 0.339, 0.007], [0.000, 0.661, 0.507], [0.500, 0.186, 0.746], [0.500, 0.814, 0.246]],
  "sg": "Pmc2_1, No. 26",
  "final_energy_ev_per_atom": -2.5159,
  "magnetic_moment_mub_per_atom": 0.000,
  "delta_e_f_mev_per_atom": 15.7
}

13.
{
  "formula": "La3SiGe2",
  "functional": "PBE",
  "state": "optimized geometry",
  "lattice": [[12.289, 0.000, 0.000], [0.000, 4.274, 0.000], [0.000, 0.000, 12.279]],
  "species": ["La", "La", "La", "La", "La", "La", "La", "La", "La", "La", "La", "La", "Si", "Si", "Si", "Si", "Ge", "Ge", "Ge", "Ge", "Ge", "Ge", "Ge", "Ge"],
  "fractional_positions": [[0.063, 0.250, 0.120], [0.115, 0.750, 0.556], [0.207, 0.250, 0.791], [0.293, 0.750, 0.291], [0.385, 0.250, 0.056], [0.437, 0.750, 0.620], [0.563, 0.250, 0.380], [0.615, 0.750, 0.944], [0.707, 0.250, 0.709], [0.793, 0.750, 0.209], [0.885, 0.250, 0.444], [0.937, 0.750, 0.880], [0.132, 0.250, 0.369], [0.368, 0.750, 0.869], [0.632, 0.250, 0.131], [0.868, 0.750, 0.631], [0.026, 0.750, 0.309], [0.197, 0.750, 0.988], [0.303, 0.250, 0.488], [0.474, 0.250, 0.809], [0.526, 0.750, 0.191], [0.697, 0.750, 0.512], [0.803, 0.250, 0.012], [0.974, 0.250, 0.691]],
  "sg": "Pnma, No. 62",
  "final_energy_ev_per_atom": -5.6496,
  "magnetic_moment_mub_per_atom": 0.125
}

14.
{
  "formula": "RbAsRhAu",
  "functional": "PBE",
  "state": "optimized geometry",
  "lattice": [[4.007, 0.000, 0.000], [0.000, 4.007, 0.000], [0.000, 0.000, 12.868]],
  "species": ["Rb", "Rb", "As", "As", "Rh", "Rh", "Au", "Au"],
  "fractional_positions": [[0.250, 0.250, 0.225], [0.750, 0.750, 0.775], [0.250, 0.250, 0.609], [0.750, 0.750, 0.391], [0.250, 0.750, 0.500], [0.750, 0.250, 0.500], [0.250, 0.750, 0.000], [0.750, 0.250, 0.000]],
  "sg": "P4/nmm, No. 129",
  "final_energy_ev_per_atom": -4.5148,
  "magnetic_moment_mub_per_atom": 0.000,
  "delta_e_f_mev_per_atom": -453.3
}

15.
{
  "formula": "BaReN3",
  "functional": "PBE",
  "state": "optimized geometry",
  "lattice": [[8.049, -1.627, 0.000], [8.049, 1.627, 0.000], [-1.148, 0.000, 6.701]],
  "species": ["Ba", "Ba", "Re", "Re", "N", "N", "N", "N", "N", "N"],
  "fractional_positions": [[0.140, 0.140, 0.318], [0.860, 0.860, 0.682], [0.402, 0.402, 0.244], [0.598, 0.598, 0.756], [0.023, 0.023, 0.596], [0.107, 0.107, 0.913], [0.312, 0.312, 0.364], [0.688, 0.688, 0.636], [0.893, 0.893, 0.087], [0.977, 0.977, 0.404]],
  "sg": "C2/m, No. 12",
  "final_energy_ev_per_atom": -7.8940,
  "magnetic_moment_mub_per_atom": 0.000
}

16.
{
  "formula": "PmNd2NpN4",
  "functional": "PBE",
  "state": "optimized geometry",
  "lattice": [[6.171, 0.000, 0.000], [0.000, 3.577, 0.000], [-2.010, 0.000, 5.851]],
  "species": ["Pm", "Nd", "Nd", "Np", "N", "N", "N", "N"],
  "fractional_positions": [[0.000, 0.000, 0.000], [0.000, 0.500, 0.500], [0.500, 0.000, 0.500], [0.500, 0.500, 0.000], [0.270, 0.500, 0.226], [0.271, 0.000, 0.774], [0.729, 0.000, 0.226], [0.730, 0.500, 0.774]],
  "sg": "P2/m, No. 10",
  "final_energy_ev_per_atom": -8.9047,
  "magnetic_moment_mub_per_atom": 0.348
}

17.
{
  "formula": "KAsOsCl2",
  "functional": "PBE",
  "state": "optimized geometry",
  "lattice": [[5.371, 0.000, 0.000], [0.000, 5.371, 0.000], [0.000, 0.000, 6.124]],
  "species": ["K", "As", "Os", "Cl", "Cl"],
  "fractional_positions": [[0.000, 0.000, 0.000], [0.500, 0.500, 0.500], [0.000, 0.000, 0.500], [0.000, 0.500, 0.000], [0.500, 0.000, 0.000]],
  "sg": "P4/mmm, No. 123",
  "final_energy_ev_per_atom": -2.6093,
  "magnetic_moment_mub_per_atom": 0.759
}

18.
{
  "formula": "Ba2TlAg",
  "functional": "PBE",
  "state": "optimized geometry",
  "lattice": [[4.263, -4.272, 0.000], [4.263, 4.272, 0.000], [-0.006, 0.000, 4.114]],
  "species": ["Ba", "Ba", "Tl", "Ag"],
  "fractional_positions": [[0.000, 0.500, 0.000], [0.500, 0.000, 0.000], [0.000, 0.000, 0.500], [0.500, 0.500, 0.500]],
  "sg": "C2/m, No. 12",
  "final_energy_ev_per_atom": -2.5791,
  "magnetic_moment_mub_per_atom": 0.000,
  "delta_e_f_mev_per_atom": -313.3,
  "polymorph_energy_ev_per_atom": 0.0000
}

19.
{
  "formula": "SmHo2Tm5",
  "functional": "PBE",
  "state": "optimized geometry",
  "lattice": [[6.109, 0.000, 0.000], [-2.225, 9.047, 0.000], [-2.113, -3.285, 9.085]],
  "species": ["Sm", "Sm", "Ho", "Ho", "Ho", "Ho", "Tm", "Tm", "Tm", "Tm", "Tm", "Tm", "Tm", "Tm", "Tm", "Tm"],
  "fractional_positions": [[0.222, 0.495, 0.408], [0.778, 0.505, 0.592], [0.050, 0.838, 0.542], [0.489, 0.849, 0.373], [0.511, 0.151, 0.627], [0.950, 0.162, 0.458], [0.162, 0.180, 0.867], [0.205, 0.831, 0.920], [0.236, 0.560, 0.095], [0.297, 0.487, 0.755], [0.362, 0.154, 0.256], [0.638, 0.846, 0.744], [0.703, 0.513, 0.245], [0.764, 0.440, 0.905], [0.795, 0.169, 0.080], [0.838, 0.820, 0.133]],
  "sg": "P-1, No. 2",
  "final_energy_ev_per_atom": -4.3707,
  "magnetic_moment_mub_per_atom": 0.000,
  "delta_e_f_mev_per_atom": 158.3
}

20.
{
  "formula": "Rb2PuBr3Cl3",
  "functional": "PBE",
  "state": "optimized geometry",
  "lattice": [[8.593, 0.000, 0.000], [-4.296, 7.441, 0.000], [0.000, 0.000, 4.327]],
  "species": ["Rb", "Rb", "Pu", "Br", "Br", "Br", "Cl", "Cl", "Cl"],
  "fractional_positions": [[0.333, 0.667, 0.000], [0.667, 0.333, 0.000], [0.000, 0.000, 0.500], [0.000, 0.647, 0.500], [0.353, 0.353, 0.500], [0.647, 0.000, 0.500], [0.000, 0.219, 0.000], [0.219, 0.000, 0.000], [0.781, 0.781, 0.000]],
  "sg": "P-62m, No. 189",
  "final_energy_ev_per_atom": -4.5658,
  "magnetic_moment_mub_per_atom": 0.435
}

21.
{
  "formula": "NiIrRu2",
  "functional": "PBE",
  "state": "optimized geometry",
  "lattice": [[1.346, 0.777, 8.649], [-1.346, 0.777, 8.649], [0.000, -1.554, 8.649]],
  "species": ["Ni", "Ir", "Ru", "Ru"],
  "fractional_positions": [[0.000, 0.000, 0.000], [0.500, 0.500, 0.500], [0.252, 0.252, 0.252], [0.748, 0.748, 0.748]],
  "sg": "R-3m, No. 166",
  "final_energy_ev_per_atom": -8.1589,
  "magnetic_moment_mub_per_atom": 0.152,
  "delta_e_f_mev_per_atom": 139.6,
  "polymorph_energy_ev_per_atom": 0.1019
}